(1)
Here is crystalline TiCoPt3 at its relaxed geometry from Alexandria via LeMat-Bulk. Energies are from PBE.

```
TiCoPt3
1.0
-0.542 3.001 -3.516
2.848 -2.572 -2.634
-3.641 -2.459 -1.537
Co Pt Ti
1 3 1
direct
0.500 0.500 0.500 Co
0.000 0.500 0.000 Pt
0.000 0.000 0.500 Pt
0.500 0.000 0.000 Pt
0.000 0.000 0.000 Ti
```

Calculated values
As for the formation energy: 4.44 eV per formula unit. The raw total energy comes out at -5.736 eV per atom.

***

(2)
Here is crystalline TbPuCdGa at its relaxed geometry from Alexandria via LeMat-Bulk. Energies are from PBE.

```
TbPuCdGa
1.0
-3.150 3.636 -2.003
-5.110 -0.134 1.014
-2.135 3.597 3.108
Cd Tb Ga Pu
1 1 1 1
direct
0.000 0.000 0.000 Cd
0.250 0.250 0.250 Tb
0.500 0.500 0.500 Ga
0.750 0.750 0.750 Pu
```

Calculated values
As for the formation energy: -0.99 eV per formula unit. The raw total energy comes out at -5.975 eV per atom.

***

Copy entry 1 word for word.
Here is crystalline TiCoPt3 at its relaxed geometry from Alexandria via LeMat-Bulk. Energies are from PBE.

```
TiCoPt3
1.0
-0.542 3.001 -3.516
2.848 -2.572 -2.634
-3.641 -2.459 -1.537
Co Pt Ti
1 3 1
direct
0.500 0.500 0.500 Co
0.000 0.500 0.000 Pt
0.000 0.000 0.500 Pt
0.500 0.000 0.000 Pt
0.000 0.000 0.000 Ti
```

Calculated values
As for the formation energy: 4.44 eV per formula unit. The raw total energy comes out at -5.736 eV per atom.